No. 1
First-principles (GGA-PBE) data for a geometry-optimized In2PtBr2 structure, as listed in the Alexandria database.

abc: 7.090 7.090 5.667
angles: 90.00 90.00 90.00
Fractional positions:
Pt 0.000 0.000 0.000
Pt 0.500 0.500 0.000
Br 0.316 0.816 0.000
Br 0.184 0.316 0.000
Br 0.816 0.684 0.000
Br 0.684 0.184 0.000
In 0.817 0.317 0.500
In 0.683 0.817 0.500
In 0.317 0.183 0.500
In 0.183 0.683 0.500

Formation energy from raw total energies: -4.7 meV per atom
SG: No. 127
Volume: 284.9 Å³/cell

=====

No. 2
First-principles (GGA-PBE) data for a geometry-optimized KH3Au structure, as listed in the Alexandria database.

abc: 6.428 6.428 6.428
angles: 48.36 48.36 48.36
Fractional positions:
K 0.112 0.112 0.112
K 0.888 0.888 0.888
Au 0.327 0.327 0.327
Au 0.673 0.673 0.673
H 0.567 0.071 0.567
H 0.071 0.567 0.567
H 0.929 0.433 0.433
H 0.567 0.567 0.071
H 0.433 0.433 0.929
H 0.433 0.929 0.433

SG: No. 166
Volume: 136.0 Å³/cell
Calculated total energy: -2.844 eV per atom

=====

No. 3
First-principles (GGA-PBE) data for a geometry-optimized Rb2Pd2Cl5 structure, as listed in the Alexandria database.

abc: 4.817 8.566 7.520
angles: 105.53 90.00 106.33
Fractional positions:
Cl 0.394 0.788 0.177
Cl 0.000 0.000 0.000
Cl 0.829 0.657 0.417
Cl 0.606 0.212 0.823
Cl 0.171 0.343 0.583
Pd 0.911 0.822 0.209
Pd 0.089 0.178 0.791
Rb 0.381 0.763 0.718
Rb 0.619 0.237 0.282

Formation energy from raw total energies: -1030.0 meV per atom
SG: No. 12
Volume: 285.9 Å³/cell

=====

No. 4
First-principles (GGA-PBE) data for a geometry-optimized Li2PuNbO6 structure, as listed in the Alexandria database.

abc: 5.367 5.656 7.867
angles: 90.00 90.05 90.00
Each line ends with the local moment (μB).
Fractional positions:
O 0.313 0.319 0.940  -0.07
O 0.123 0.535 0.242  -0.07
O 0.327 0.304 0.564  -0.07
O 0.673 0.696 0.436  -0.07
O 0.173 0.804 0.936  -0.07
O 0.377 0.035 0.258  -0.07
O 0.687 0.681 0.060  -0.07
O 0.623 0.965 0.742  -0.07
O 0.813 0.181 0.440  -0.07
O 0.877 0.465 0.758  -0.07
O 0.827 0.196 0.064  -0.07
O 0.187 0.819 0.560  -0.07
Pu 0.000 0.500 0.500  3.33
Pu 0.500 0.000 0.000  3.33
Li 0.503 0.484 0.753  0.00
Li 0.997 0.984 0.747  0.00
Li 0.497 0.516 0.247  0.00
Li 0.003 0.016 0.253  0.00
Nb 0.000 0.500 0.000  0.07
Nb 0.500 0.000 0.500  0.07

Formation energy from raw total energies: -2476.3 meV per atom
SG: No. 14
Volume: 238.8 Å³/cell

=====

No. 5
First-principles (GGA-PBE) data for a geometry-optimized AlHg2As structure, as listed in the Alexandria database.

abc: 3.280 3.280 8.991
angles: 90.00 90.00 105.86
Fractional positions:
Hg 0.000 0.000 0.997
Hg 0.500 0.500 0.286
As 0.500 0.500 0.695
Al 0.000 0.000 0.523

SG: No. 35
Formation energy from the elements: 139 meV per atom
Volume: 93.0 Å³/cell

=====

No. 6
First-principles (GGA-PBE) data for a geometry-optimized PrSm2Mg2Sn2 structure, as listed in the Alexandria database.

abc: 5.014 5.014 9.476
angles: 74.66 74.66 60.00
Fractional positions:
Sn 0.262 0.262 0.213
Sn 0.738 0.738 0.787
Mg 0.407 0.407 0.779
Mg 0.593 0.593 0.221
Sm 0.131 0.131 0.607
Sm 0.869 0.869 0.393
Pr 0.000 0.000 0.000

SG: No. 166
Formation energy from the elements: -371 meV per atom
Volume: 196.4 Å³/cell

=====

No. 7
First-principles (GGA-PBE) data for a geometry-optimized MnBi2Ru structure, as listed in the Alexandria database.

abc: 7.819 7.819 6.336
angles: 51.90 51.90 90.00
Each line ends with the local moment (μB).
Fractional positions:
Bi 0.096 0.625 0.250  -0.04
Bi 0.875 0.904 0.750  -0.04
Bi 0.654 0.125 0.250  -0.04
Bi 0.375 0.346 0.750  -0.04
Ru 0.000 0.000 0.000  0.12
Ru 0.750 0.250 0.500  0.12
Mn 0.500 0.500 0.000  4.05
Mn 0.250 0.750 0.500  4.05

SG: No. 122
Formation energy from the elements: 666 meV per atom
Volume: 189.2 Å³/cell

=====

No. 8
First-principles (GGA-PBE) data for a geometry-optimized Sr2TaSi structure, as listed in the Alexandria database.

abc: 10.889 10.889 10.889
angles: 18.07 18.07 18.07
Fractional positions:
Ta 0.250 0.250 0.250
Sr 0.495 0.495 0.495
Sr 0.005 0.005 0.005
Si 0.750 0.750 0.750

Formation energy from raw total energies: 780.2 meV per atom
SG: No. 166
Volume: 108.4 Å³/cell